A plane-wave DFT calculation with PBE with a Hubbard U was carried out for a relaxed structure of Sr3FeCoCl2O4.

The structure belongs to space group I4mm (No. 107); the cell edges are 4.080, 4.080 and 22.591 Å and the angles 90.00°, 90.00° and 90.00°. Symmetry generates all atoms from Sr at (0.000, 0.000, 0.000), Sr at (0.000, 0.000, 0.147), Sr at (0.000, 0.000, 0.300), Fe at (0.000, 0.000, 0.724), Co at (0.000, 0.000, 0.570), Cl at (0.000, 0.000, 0.452), Cl at (0.000, 0.000, 0.855), O at (0.000, 0.500, 0.073) and O at (0.000, 0.500, 0.227).

Its crystal system is tetragonal. Its size of the total moment is 14.00 Bohr magnetons per cell. Its total energy is -5.68 eV/atom.